[1]
SrTl3Au: relaxed, PBE.

## Properties
formation energy from the elements	0.766	eV/atom
magnetic moment	0.0	μB/f.u.

Cell lengths 6.3331, 6.3331, 6.3331 Å; angles 90.00, 90.00, 90.00 degrees
With the nearest neighbours (Å) after each atom.
Space group Pm-3m (No. 221)
Asymmetric unit:
Sr: 0.0000 0.0000 0.0000  6 Tl 3.17
Tl: 0.0000 0.0000 0.5000  2 Sr 3.17
Au: 0.5000 0.5000 0.5000  12 Tl 4.48

[2]
LiSe2SN: relaxed, PBE.

## Properties
ΔE_f (raw)	5.729	eV per formula unit
energy above the most stable polymorph in this dataset	615	meV per atom
magnetic moment	0.0	μB/f.u.

Cell lengths 4.7449, 4.7449, 3.4822 Å; angles 90.00, 90.00, 90.00 degrees
With the nearest neighbours (Å) after each atom.
Space group P4/mmm (No. 123)
Asymmetric unit:
Li: 0.0000 0.0000 0.0000  2 N 1.74
Se: 0.0000 0.5000 0.0000  2 Li 2.37
S: 0.5000 0.5000 0.5000  8 Se 2.94
N: 0.0000 0.0000 0.5000  2 Li 1.74

[3]
Pm2Ho3Er5: relaxed, PBE.

## Properties
formation energy from the elements	0.198	eV/atom
magnetic moment	0.0	μB/f.u.

Cell lengths 10.5413, 15.8009, 9.3623 Å; angles 90.00, 124.03, 90.00 degrees
With the nearest neighbours (Å) after each atom.
Space group C2/c (No. 15)
Asymmetric unit:
Pm: 0.1410 0.1278 0.0465  3 Ho 3.13-3.44, 4 Er 3.26-3.50
Ho: 0.0000 0.0216 0.2500  4 Pm 3.30-3.44, 3 Er 3.31-3.49, 2 Ho 3.39
Ho: 0.1578 0.3783 0.5498  1 Pm 3.13, 5 Er 3.29-3.46, 1 Ho 3.39
Er: 0.0000 0.2313 0.2500  5 Ho 3.29-3.46, 2 Pm 3.42, 2 Er 3.51
Er: 0.0000 0.2743 0.7500  1 Er 3.14, 4 Pm 3.26-3.50
Er: 0.0000 0.4730 0.7500  3 Er 3.14-3.50, 4 Ho 3.31-3.46
Er: 0.2313 0.3796 0.2182  3 Ho 3.41-3.60, 2 Pm 3.42-3.64, 3 Er 3.50-3.62

[4]
Ga3AgPb2O8: relaxed, PBE.

## Properties
ΔE_f (raw)	-17.566	eV per formula unit
magnetic moment	0.0	μB/f.u.

Cell lengths 6.2512, 6.2512, 16.6897 Å; angles 90.00, 90.00, 120.00 degrees
With the nearest neighbours (Å) after each atom.
Space group R3m (No. 160, hexagonal axes)
Asymmetric unit:
Ga: 0.0027 0.5013 0.0000  6 O 2.03-2.09
Ag: 0.0000 0.0000 0.1397  4 O 2.24-2.32
Pb: 0.0000 0.0000 0.4967  6 O 2.25-2.27
Pb: 0.0000 0.0000 0.8652  4 O 2.29-2.42
O: 0.0000 0.0000 0.2739  3 Ga 2.05, 1 Ag 2.24
O: 0.0000 0.0000 0.7203  3 Ga 2.03
O: 0.0426 0.5213 0.2617  2 Ga 2.09, 2 Pb 2.27-2.29
O: 0.1850 0.3700 0.0694  2 Ga 2.06, 1 Pb 2.25

| no. | E_tot (eV/cell) | DOS at the Fermi energy (states/eV/f.u.) | V (Å³/cell) |
| --- | --- | --- | --- |
| 1 | -8.23 | 9.761 | 254 |
| 2 | -15.61 | 3.149 | 78 |
| 3 | -176.28 | 18.083 | 1292 |
| 4 | -229.74 | 1.978 | 565 |